Material: KTaW2
Method: DFT, PBE
State: optimized geometry Values from VASP.

Values from the calculation:
E: -31.9 eV/f.u.
energy above the lowest structure with this stoichiometry: 1025 meV per atom
calculated formation energy: 674.8 kJ/mol of formula units
ρ: 12.40 g/cm3
volume: 79 Å³ per cell

```
&SYSTEM
  ibrav = 0, nat = 4, ntyp = 3
/
ATOMIC_SPECIES
W 183.84 W.upf
K 39.10 K.upf
Ta 180.95 Ta.upf
ATOMIC_POSITIONS crystal
W 0.000 0.000 0.000
W 0.500 0.500 0.000
K 0.500 0.000 0.500
Ta 0.000 0.500 0.500
CELL_PARAMETERS angstrom
-1.312 -4.792 2.190
4.636 0.023 2.827
-1.231 1.255 2.009
```